Record 1
Material: MoRh3
Method: DFT, PBE-GGA
State: relaxed

Cell lengths 3.865, 3.865, 3.865 Å; angles 90.00, 90.00, 90.00 degrees
Element x y z (fractional)
Mo  0.000  0.000  0.000
Rh  0.000  0.500  0.500
Rh  0.500  0.000  0.500
Rh  0.500  0.500  0.000

For the total energy, the calculation gives -8.412 eV/atom. As for the density of states at the Fermi level: 0.794 states/eV per atom. The density is 11.6 g cm⁻³.

=====

Record 2
Material: MoRh
Method: DFT, PBE-GGA
State: relaxed

Cell lengths 6.616, 6.616, 6.616 Å; angles 109.47, 109.47, 109.47 degrees
Element x y z (fractional)
Mo  0.000  0.000  0.723
Mo  0.000  0.723  0.000
Mo  0.277  0.277  0.277
Mo  0.723  0.000  0.000
Rh  0.000  0.000  0.361
Rh  0.000  0.361  0.000
Rh  0.361  0.000  0.000
Rh  0.639  0.639  0.639

For the total energy, the calculation gives -7.692 eV/atom. As for the density of states at the Fermi level: 1.076 states/eV per atom. The density is 5.9 g cm⁻³.